A geometry-optimized Sr2HgBiSb structure. Source: OQMD, functional GGA-PBE.

Cell: 4.840 18.358 7.806 Å, 90.00 90.00 90.00°
Space group Cmc2_1 (No. 36)
Unique sites:
Sr  0.000  0.022  0.000
Sr  0.000  0.198  0.328
Hg  0.000  0.407  0.164
Bi  0.000  0.175  0.774
Sb  0.000  0.431  0.781

Output
Raw total energy: -3.1057 eV per atom